First-principles (PBE) data for a relaxed structure of CdBiPb, as listed in the Alexandria database.

Cell and atoms, written as POSCAR:
```
CdBiPb
1.0
4.7944 0.0000 -0.3127
0.0000 4.8467 0.0000
-1.7496 0.0000 7.9810
Cd Bi Pb
2 2 2
direct
0.2858 0.2500 0.5049
0.7142 0.7500 0.4951
0.7219 0.2500 0.2192
0.2781 0.7500 0.7808
0.8325 0.2500 0.8341
0.1675 0.7500 0.1659
```

Computed properties:
The value obtained for the uncorrected energy is -2.807 eV/atom. The value obtained for the formation enthalpy at 0 K is 2.7 kJ/mol of atoms.